[1]
## Ag15Sb (PBE)

Data for a geometry-optimized Ag15Sb structure.

Geometry as POSCAR:
```
Ag15Sb
1.0
8.206 0.000 0.000
0.000 42.473 0.000
0.000 0.000 4.121
Ag Sb
60 4
Direct
0.117 0.132 0.000
0.117 0.868 0.500
0.125 0.280 0.500
0.125 0.329 0.000
0.125 0.378 0.500
0.125 0.427 0.000
0.125 0.476 0.500
0.125 0.524 0.000
0.125 0.573 0.500
0.125 0.622 0.000
0.125 0.671 0.500
0.125 0.720 0.000
0.126 0.231 0.000
0.126 0.769 0.500
0.129 0.182 0.500
0.129 0.818 0.000
0.374 0.280 0.000
0.374 0.720 0.500
0.375 0.329 0.500
0.375 0.377 0.000
0.375 0.427 0.500
0.375 0.476 0.000
0.375 0.524 0.500
0.375 0.573 0.000
0.375 0.623 0.500
0.375 0.671 0.000
0.376 0.231 0.500
0.376 0.769 0.000
0.380 0.180 0.000
0.380 0.820 0.500
0.620 0.180 0.500
0.620 0.820 0.000
0.624 0.231 0.000
0.624 0.769 0.500
0.625 0.329 0.000
0.625 0.377 0.500
0.625 0.427 0.000
0.625 0.476 0.500
0.625 0.524 0.000
0.625 0.573 0.500
0.625 0.623 0.000
0.625 0.671 0.500
0.626 0.280 0.500
0.626 0.720 0.000
0.871 0.182 0.000
0.871 0.818 0.500
0.874 0.231 0.500
0.874 0.769 0.000
0.875 0.280 0.000
0.875 0.329 0.500
0.875 0.378 0.000
0.875 0.427 0.500
0.875 0.476 0.000
0.875 0.524 0.500
0.875 0.573 0.000
0.875 0.622 0.500
0.875 0.671 0.000
0.875 0.720 0.500
0.883 0.132 0.500
0.883 0.868 0.000
0.356 0.126 0.500
0.356 0.874 0.000
0.644 0.126 0.000
0.644 0.874 0.500
```

Properties
E above lowest polymorph = 0.004 eV per atom
Space group = Pccm, No. 49
E_tot = -183.7 eV for the cell shown

=====

[2]
## LiBIr (PBE)

Data for a geometry-optimized LiBIr structure.

Geometry as POSCAR:
```
LiBIr
1.0
5.050 0.000 0.000
0.000 5.050 0.000
0.000 0.000 5.050
Li B Ir
4 4 4
Direct
0.000 0.000 0.000
0.000 0.500 0.500
0.500 0.000 0.500
0.500 0.500 0.000
0.250 0.250 0.750
0.250 0.750 0.250
0.750 0.250 0.250
0.750 0.750 0.750
0.000 0.000 0.500
0.000 0.500 0.000
0.500 0.000 0.000
0.500 0.500 0.500
```

Properties
E above lowest polymorph = 0.129 eV per atom
Space group = F-43m, No. 216
E_tot = -72.7 eV for the cell shown

=====

[3]
## CsRbAgP (PBE)

Data for a geometry-optimized CsRbAgP structure.

Geometry as POSCAR:
```
CsRbAgP
1.0
6.355 0.000 0.000
0.000 8.015 0.000
0.000 0.000 10.683
Cs Rb Ag P
4 4 4 4
Direct
0.250 0.140 0.000
0.250 0.640 0.500
0.750 0.360 0.500
0.750 0.860 0.000
0.250 0.140 0.657
0.250 0.640 0.157
0.750 0.360 0.157
0.750 0.860 0.657
0.000 0.000 0.328
0.000 0.500 0.828
0.500 0.000 0.328
0.500 0.500 0.828
0.250 0.236 0.333
0.250 0.736 0.833
0.750 0.264 0.833
0.750 0.764 0.333
```

Properties
E above lowest polymorph = 0.002 eV per atom
Space group = Ama2, No. 40
E_tot = -45.0 eV for the cell shown

=====

[4]
## KInPdS3 (PBE)

Data for a geometry-optimized KInPdS3 structure.

Geometry as POSCAR:
```
KInPdS3
1.0
8.312 0.000 0.000
0.000 4.181 0.000
-2.204 0.000 9.214
K In Pd S
2 2 2 6
Direct
0.184 0.250 0.220
0.816 0.750 0.780
0.345 0.750 0.878
0.655 0.250 0.122
0.059 0.250 0.598
0.941 0.750 0.402
0.130 0.250 0.853
0.187 0.750 0.596
0.449 0.750 0.153
0.551 0.250 0.847
0.813 0.250 0.404
0.870 0.750 0.147
```

Properties
E above lowest polymorph = 0.000 eV per atom
Space group = P2_1/m, No. 11
E_tot = -50.0 eV for the cell shown

=====

[5]
## Er2P2O7 (PBE)

Data for a geometry-optimized Er2P2O7 structure.

Geometry as POSCAR:
```
Er2P2O7
1.0
0.000 4.912 4.912
4.912 0.000 4.912
4.912 4.912 0.000
Er P O
4 4 14
Direct
0.000 0.000 0.000
0.000 0.000 0.500
0.000 0.500 0.000
0.500 0.000 0.000
0.000 0.500 0.500
0.500 0.000 0.500
0.500 0.500 0.000
0.500 0.500 0.500
0.125 0.125 0.125
0.176 0.176 0.574
0.176 0.574 0.176
0.176 0.574 0.574
0.426 0.426 0.824
0.426 0.824 0.426
0.426 0.824 0.824
0.574 0.176 0.176
0.574 0.176 0.574
0.574 0.574 0.176
0.824 0.426 0.426
0.824 0.426 0.824
0.824 0.824 0.426
0.875 0.875 0.875
```

Properties
Space group = Fd-3m, No. 227
E_tot = -159.0 eV for the cell shown

=====

[6]
## HoAuSO (PBE)

Data for a geometry-optimized HoAuSO structure.

Geometry as POSCAR:
```
HoAuSO
1.0
3.895 0.000 0.000
0.000 3.895 0.000
0.000 0.000 8.947
Ho Au S O
2 2 2 2
Direct
0.250 0.250 0.124
0.750 0.750 0.876
0.250 0.750 0.500
0.750 0.250 0.500
0.250 0.250 0.717
0.750 0.750 0.283
0.250 0.750 0.000
0.750 0.250 0.000
```

Properties
E above lowest polymorph = 0.174 eV per atom
Space group = P4/nmm, No. 129
E_tot = -48.3 eV for the cell shown

=====

[7]
## DyHoTlAg2 (PBE)

Data for a geometry-optimized DyHoTlAg2 structure.

Geometry as POSCAR:
```
DyHoTlAg2
1.0
3.512 0.000 0.000
0.000 4.577 0.000
0.000 0.000 14.766
Dy Ho Tl Ag
2 2 2 4
Direct
0.000 0.000 0.000
0.000 0.500 0.500
0.000 0.000 0.244
0.000 0.500 0.744
0.500 0.000 0.622
0.500 0.500 0.122
0.500 0.000 0.423
0.500 0.000 0.820
0.500 0.500 0.320
0.500 0.500 0.923
```

Properties
Space group = Amm2, No. 38
E_tot = -37.4 eV for the cell shown

=====

[8]
## TbSmInNi2 (PBE)

Data for a geometry-optimized TbSmInNi2 structure.

Geometry as POSCAR:
```
TbSmInNi2
1.0
3.722 0.000 0.000
0.000 3.946 0.000
0.000 0.000 14.451
Tb Sm In Ni
2 2 2 4
Direct
0.000 0.000 0.000
0.000 0.500 0.500
0.000 0.000 0.724
0.000 0.500 0.224
0.500 0.000 0.364
0.500 0.500 0.864
0.500 0.000 0.160
0.500 0.000 0.561
0.500 0.500 0.061
0.500 0.500 0.660
```

Properties
Space group = Amm2, No. 38
E_tot = -51.5 eV for the cell shown

=====

[9]
## Nd2NiGe4Pd (PBE)

Data for a geometry-optimized Nd2NiGe4Pd structure.

Geometry as POSCAR:
```
Nd2NiGe4Pd
1.0
4.317 0.000 0.000
0.000 4.282 0.000
0.000 0.000 16.999
Nd Ni Ge Pd
4 2 8 2
Direct
0.000 0.000 0.000
0.000 0.500 0.500
0.500 0.000 0.214
0.500 0.500 0.714
0.500 0.000 0.427
0.500 0.500 0.927
0.000 0.000 0.364
0.000 0.000 0.643
0.000 0.500 0.143
0.000 0.500 0.864
0.500 0.000 0.565
0.500 0.000 0.863
0.500 0.500 0.065
0.500 0.500 0.363
0.000 0.000 0.786
0.000 0.500 0.286
```

Properties
Space group = Amm2, No. 38
E_tot = -89.7 eV for the cell shown

=====

[10]
## NdInW (PBE)

Data for a geometry-optimized NdInW structure.

Geometry as POSCAR:
```
NdInW
1.0
6.882 0.000 0.000
0.000 6.882 0.000
0.000 0.000 6.882
Nd In W
4 4 4
Direct
0.000 0.000 0.000
0.000 0.500 0.500
0.500 0.000 0.500
0.500 0.500 0.000
0.000 0.000 0.500
0.000 0.500 0.000
0.500 0.000 0.000
0.500 0.500 0.500
0.250 0.250 0.750
0.250 0.750 0.250
0.750 0.250 0.250
0.750 0.750 0.750
```

Properties
Space group = F-43m, No. 216
E_tot = -70.4 eV for the cell shown

=====

[11]
## DyThPt2 (PBE)

Data for a geometry-optimized DyThPt2 structure.

Geometry as POSCAR:
```
DyThPt2
1.0
3.835 0.000 0.000
0.000 4.491 0.000
-1.909 0.000 5.462
Dy Th Pt
1 1 2
Direct
0.000 0.000 0.000
0.275 0.500 0.550
0.546 0.500 0.093
0.732 0.000 0.465
```

Properties
Space group = Pm, No. 6
E_form = -1.27 eV per atom
E_tot = -29.2 eV for the cell shown

=====

[12]
## GdC (PBE)

Data for a geometry-optimized GdC structure.

Geometry as POSCAR:
```
GdC
1.0
3.573 0.000 0.000
-1.787 3.094 0.000
0.000 0.000 3.059
Gd C
1 1
Direct
0.000 0.000 0.000
0.333 0.667 0.500
```

Properties
Space group = P-6m2, No. 187
E_tot = -12.9 eV for the cell shown

=====

[13]
## TmMo (PBE)

Data for a geometry-optimized TmMo structure.

Geometry as POSCAR:
```
TmMo
1.0
3.509 0.000 0.000
-1.755 3.039 0.000
0.000 0.000 7.422
Tm Mo
2 2
Direct
0.000 0.000 0.000
0.000 0.000 0.500
0.333 0.667 0.250
0.667 0.333 0.750
```

Properties
E above lowest polymorph = 0.513 eV per atom
Space group = P6_3/mmc, No. 194
E_form = 1.08 eV per atom
E_tot = -26.3 eV for the cell shown

=====

[14]
## ZnPdW4 (PBE)

Data for a geometry-optimized ZnPdW4 structure.

Geometry as POSCAR:
```
ZnPdW4
1.0
7.135 0.000 0.000
0.000 7.206 0.000
0.000 0.000 4.618
Zn Pd W
2 2 8
Direct
0.000 0.000 0.000
0.500 0.500 0.000
0.000 0.500 0.500
0.500 0.000 0.500
0.000 0.163 0.500
0.000 0.837 0.500
0.167 0.500 0.000
0.333 0.000 0.000
0.500 0.337 0.500
0.500 0.663 0.500
0.667 0.000 0.000
0.833 0.500 0.000
```

Properties
Space group = Cmmm, No. 65
E_form = 1.84 eV per atom
E_tot = -94.5 eV for the cell shown

=====

[15]
## SmCuTe3Pb (PBE)

Data for a geometry-optimized SmCuTe3Pb structure.

Geometry as POSCAR:
```
SmCuTe3Pb
1.0
12.446 0.000 0.000
0.000 4.453 0.000
0.000 0.000 12.564
Sm Cu Te Pb
4 4 12 4
Direct
0.031 0.250 0.189
0.469 0.750 0.689
0.531 0.250 0.311
0.969 0.750 0.811
0.234 0.750 0.295
0.266 0.250 0.795
0.734 0.750 0.205
0.766 0.250 0.705
0.037 0.750 0.368
0.103 0.250 0.938
0.213 0.750 0.690
0.287 0.250 0.190
0.397 0.750 0.438
0.463 0.250 0.868
0.537 0.750 0.132
0.603 0.250 0.562
0.713 0.750 0.810
0.787 0.250 0.310
0.897 0.750 0.062
0.963 0.250 0.632
0.198 0.250 0.481
0.302 0.750 0.981
0.698 0.250 0.019
0.802 0.750 0.519
```

Properties
E above lowest polymorph = 0.020 eV per atom
Space group = Pnma, No. 62
E_tot = -103.2 eV for the cell shown

=====

[16]
## KBaU (PBE)

Data for a geometry-optimized KBaU structure.

Geometry as POSCAR:
```
KBaU
1.0
8.885 0.000 0.000
0.000 8.885 0.000
0.000 0.000 8.885
K Ba U
4 4 4
Direct
0.000 0.000 0.000
0.000 0.500 0.500
0.500 0.000 0.500
0.500 0.500 0.000
0.000 0.000 0.500
0.000 0.500 0.000
0.500 0.000 0.000
0.500 0.500 0.500
0.250 0.250 0.250
0.250 0.750 0.750
0.750 0.250 0.750
0.750 0.750 0.250
```

Properties
E above lowest polymorph = 0.000 eV per atom
Space group = F-43m, No. 216
E_tot = -36.1 eV for the cell shown

=====

[17]
## CoReSbOs (PBE)

Data for a geometry-optimized CoReSbOs structure.

Geometry as POSCAR:
```
CoReSbOs
1.0
6.247 0.000 0.000
0.000 6.247 0.000
0.000 0.000 6.247
Co Re Sb Os
4 4 4 4
Direct
0.000 0.000 0.000
0.000 0.500 0.500
0.500 0.000 0.500
0.500 0.500 0.000
0.000 0.000 0.500
0.000 0.500 0.000
0.500 0.000 0.000
0.500 0.500 0.500
0.250 0.250 0.750
0.250 0.750 0.250
0.750 0.250 0.250
0.750 0.750 0.750
0.250 0.250 0.250
0.250 0.750 0.750
0.750 0.250 0.750
0.750 0.750 0.250
```

Properties
E above lowest polymorph = 0.000 eV per atom
Space group = F-43m, No. 216
E_tot = -129.6 eV for the cell shown

=====

[18]
## YHoTa (PBE)

Data for a geometry-optimized YHoTa structure.

Geometry as POSCAR:
```
YHoTa
1.0
7.070 0.000 0.000
0.000 7.070 0.000
0.000 0.000 7.070
Y Ho Ta
4 4 4
Direct
0.000 0.000 0.000
0.000 0.500 0.500
0.500 0.000 0.500
0.500 0.500 0.000
0.250 0.250 0.750
0.250 0.750 0.250
0.750 0.250 0.250
0.750 0.750 0.750
0.000 0.000 0.500
0.000 0.500 0.000
0.500 0.000 0.000
0.500 0.500 0.500
```

Properties
E above lowest polymorph = 0.000 eV per atom
Space group = F-43m, No. 216
E_form = 1.30 eV per atom
E_tot = -75.9 eV for the cell shown

=====

[19]
## Na2Nd2O5 (PBE)

Data for a geometry-optimized Na2Nd2O5 structure.

Geometry as POSCAR:
```
Na2Nd2O5
1.0
4.361 0.000 0.000
0.000 4.361 0.000
0.000 0.000 8.210
Na Nd O
2 2 5
Direct
0.000 0.000 0.000
0.000 0.000 0.500
0.500 0.500 0.229
0.500 0.500 0.771
0.000 0.500 0.147
0.000 0.500 0.853
0.500 0.000 0.147
0.500 0.000 0.853
0.500 0.500 0.500
```

Properties
E above lowest polymorph = 0.000 eV per atom
Space group = P4/mmm, No. 123
E_tot = -54.6 eV for the cell shown

=====

[20]
## ThTaN3 (PBE)

Data for a geometry-optimized ThTaN3 structure.

Geometry as POSCAR:
```
ThTaN3
1.0
5.728 0.000 0.000
0.000 7.499 0.000
0.000 0.000 5.859
Th Ta N
4 4 12
Direct
0.035 0.250 0.005
0.465 0.750 0.505
0.535 0.250 0.495
0.965 0.750 0.995
0.000 0.000 0.500
0.000 0.500 0.500
0.500 0.000 0.000
0.500 0.500 0.000
0.031 0.750 0.388
0.216 0.556 0.778
0.216 0.944 0.778
0.284 0.056 0.278
0.284 0.444 0.278
0.469 0.250 0.888
0.531 0.750 0.112
0.716 0.556 0.722
0.716 0.944 0.722
0.784 0.056 0.222
0.784 0.444 0.222
0.969 0.250 0.612
```

Properties
Space group = Pnma, No. 62
E_tot = -204.6 eV for the cell shown